# KCu2Ir PBE relaxed
data_KCu2Ir
_space_group_name_H-M_alt 'F -4 3 m'
_space_group_IT_number 216
_space_group_name_Hall 'F -4 2 3'
_cell_length_a 6.471
_cell_length_b 6.471
_cell_length_c 6.471
_cell_angle_alpha 90.00
_cell_angle_beta 90.00
_cell_angle_gamma 90.00
loop_
_atom_site_label
_atom_site_type_symbol
_atom_site_fract_x
_atom_site_fract_y
_atom_site_fract_z
K1 K 0.000 0.000 0.000
Cu1 Cu 0.000 0.000 0.500
Cu2 Cu 0.250 0.250 0.250
Ir1 Ir 0.250 0.250 0.750
# Energy of formation from the pure elements = 1.04 eV per atom

***

# Y4GaI5 PBE relaxed
data_Y4GaI5
_space_group_name_H-M_alt 'C 1 2/m 1'
_space_group_IT_number 12
_cell_length_a 19.200
_cell_length_b 4.236
_cell_length_c 8.817
_cell_angle_alpha 90.00
_cell_angle_beta 102.46
_cell_angle_gamma 90.00
loop_
_space_group_symop_operation_xyz
'x,y,z'
'-x,-y,-z'
'-x,y,-z'
'x,-y,z'
'x+1/2,y+1/2,z'
'-x+1/2,-y+1/2,-z'
'-x+1/2,y+1/2,-z'
'x+1/2,-y+1/2,z'
loop_
_atom_site_label
_atom_site_type_symbol
_atom_site_fract_x
_atom_site_fract_y
_atom_site_fract_z
Y1 Y 0.000 0.000 0.214
Y2 Y 0.147 0.500 0.075
Ga1 Ga 0.000 0.500 0.000
I1 I 0.000 0.500 0.500
I2 I 0.167 0.000 0.337
I3 I 0.173 0.000 0.830
# Formation energy without anion corrections = -11.087 eV per formula unit

***

# LaErLuTl PBE relaxed
data_LaErLuTl
_space_group_name_H-M_alt 'F -4 3 m'
_space_group_IT_number 216
_space_group_name_Hall 'F -4 2 3'
_cell_length_a 7.812
_cell_length_b 7.812
_cell_length_c 7.812
_cell_angle_alpha 90.00
_cell_angle_beta 90.00
_cell_angle_gamma 90.00
loop_
_atom_site_label
_atom_site_type_symbol
_atom_site_fract_x
_atom_site_fract_y
_atom_site_fract_z
La1 La 0.000 0.000 0.000
Er1 Er 0.000 0.000 0.500
Lu1 Lu 0.250 0.250 0.250
Tl1 Tl 0.250 0.250 0.750
# Energy of formation from the pure elements = -0.07 eV per atom

***

# SmAl2O4 PBE relaxed
data_SmAl2O4
_space_group_name_H-M_alt 'I 4/m m m'
_space_group_IT_number 139
_space_group_name_Hall '-I 4 2'
_cell_length_a 7.165
_cell_length_b 7.165
_cell_length_c 5.055
_cell_angle_alpha 90.00
_cell_angle_beta 90.00
_cell_angle_gamma 90.00
loop_
_atom_site_label
_atom_site_type_symbol
_atom_site_fract_x
_atom_site_fract_y
_atom_site_fract_z
Sm1 Sm 0.000 0.000 0.000
Al1 Al 0.000 0.500 0.250
O1 O 0.000 0.323 0.000
# Formation energy without anion corrections = -19.489 eV per formula unit

***

# BPH PBE relaxed
data_BPH
_space_group_name_H-M_alt 'P 1'
_space_group_IT_number 1
_cell_length_a 2.606
_cell_length_b 4.116
_cell_length_c 5.172
_cell_angle_alpha 78.57
_cell_angle_beta 82.40
_cell_angle_gamma 74.32
loop_
_space_group_symop_operation_xyz
'x,y,z'
loop_
_atom_site_label
_atom_site_type_symbol
_atom_site_fract_x
_atom_site_fract_y
_atom_site_fract_z
B1 B 0.000 0.000 0.000
P1 P 0.533 0.777 0.239
H1 H 0.976 0.185 0.792
# DFT total energy = -4.677 eV/atom

***

# AcAs6 PBE relaxed
data_AcAs6
_space_group_name_H-M_alt 'I m -3 m'
_space_group_IT_number 229
_space_group_name_Hall '-I 4 2 3'
_cell_length_a 7.345
_cell_length_b 7.345
_cell_length_c 7.345
_cell_angle_alpha 90.00
_cell_angle_beta 90.00
_cell_angle_gamma 90.00
loop_
_atom_site_label
_atom_site_type_symbol
_atom_site_fract_x
_atom_site_fract_y
_atom_site_fract_z
Ac1 Ac 0.000 0.000 0.000
As1 As 0.000 0.250 0.500
# Energy of formation from the pure elements = 0.16 eV per atom

***

# CeTm3Zn2 PBE relaxed
data_CeTm3Zn2
_space_group_name_H-M_alt 'P 4/m m m'
_space_group_IT_number 123
_space_group_name_Hall '-P 4 2'
_cell_length_a 3.495
_cell_length_b 3.495
_cell_length_c 12.044
_cell_angle_alpha 90.00
_cell_angle_beta 90.00
_cell_angle_gamma 90.00
loop_
_atom_site_label
_atom_site_type_symbol
_atom_site_fract_x
_atom_site_fract_y
_atom_site_fract_z
Ce1 Ce 0.000 0.000 0.000
Tm1 Tm 0.500 0.500 0.207
Tm2 Tm 0.500 0.500 0.500
Zn1 Zn 0.000 0.000 0.353
# Energy of formation from the pure elements = -0.21 eV per atom

***

# CoSbAsW2 PBE relaxed
data_CoSbAsW2
_space_group_name_H-M_alt 'P 4/m m m'
_space_group_IT_number 123
_space_group_name_Hall '-P 4 2'
_cell_length_a 4.620
_cell_length_b 4.620
_cell_length_c 4.533
_cell_angle_alpha 90.00
_cell_angle_beta 90.00
_cell_angle_gamma 90.00
loop_
_atom_site_label
_atom_site_type_symbol
_atom_site_fract_x
_atom_site_fract_y
_atom_site_fract_z
Co1 Co 0.000 0.000 0.000
Sb1 Sb 0.000 0.000 0.500
As1 As 0.500 0.500 0.500
W1 W 0.000 0.500 0.000
# Formation energy without anion corrections = 6.993 eV per formula unit

***

# Tb3Pm6YTh2 PBE relaxed
data_Tb3Pm6YTh2
_space_group_name_H-M_alt 'C 1 2/m 1'
_space_group_IT_number 12
_cell_length_a 6.254
_cell_length_b 10.813
_cell_length_c 12.001
_cell_angle_alpha 90.00
_cell_angle_beta 100.00
_cell_angle_gamma 90.00
loop_
_space_group_symop_operation_xyz
'x,y,z'
'-x,-y,-z'
'-x,y,-z'
'x,-y,z'
'x+1/2,y+1/2,z'
'-x+1/2,-y+1/2,-z'
'-x+1/2,y+1/2,-z'
'x+1/2,-y+1/2,z'
loop_
_atom_site_label
_atom_site_type_symbol
_atom_site_fract_x
_atom_site_fract_y
_atom_site_fract_z
Tb1 Tb 0.000 0.000 0.000
Tb2 Tb 0.000 0.333 0.000
Pm1 Pm 0.246 0.000 0.748
Pm2 Pm 0.249 0.168 0.252
Y1 Y 0.000 0.500 0.500
Th1 Th 0.000 0.166 0.500
# Energy of formation from the pure elements = 0.04 eV per atom

***

# RbTa PBE relaxed
data_RbTa
_space_group_name_H-M_alt 'F m -3 m'
_space_group_IT_number 225
_space_group_name_Hall '-F 4 2 3'
_cell_length_a 7.439
_cell_length_b 7.439
_cell_length_c 7.439
_cell_angle_alpha 90.00
_cell_angle_beta 90.00
_cell_angle_gamma 90.00
loop_
_atom_site_label
_atom_site_type_symbol
_atom_site_fract_x
_atom_site_fract_y
_atom_site_fract_z
Rb1 Rb 0.000 0.000 0.000
Ta1 Ta 0.000 0.000 0.500
# Energy of formation from the pure elements = 3.17 eV per atom

***

# CoBi2Pt PBE relaxed
data_CoBi2Pt
_space_group_name_H-M_alt 'F m -3 m'
_space_group_IT_number 225
_space_group_name_Hall '-F 4 2 3'
_cell_length_a 6.937
_cell_length_b 6.937
_cell_length_c 6.937
_cell_angle_alpha 90.00
_cell_angle_beta 90.00
_cell_angle_gamma 90.00
loop_
_atom_site_label
_atom_site_type_symbol
_atom_site_fract_x
_atom_site_fract_y
_atom_site_fract_z
Co1 Co 0.000 0.000 0.000
Bi1 Bi 0.250 0.250 0.250
Pt1 Pt 0.000 0.000 0.500
# Energy of formation from the pure elements = 0.27 eV per atom

***

# KNaBeSe2 PBE relaxed
data_KNaBeSe2
_space_group_name_H-M_alt 'P 1 2/c 1'
_space_group_IT_number 13
_cell_length_a 7.337
_cell_length_b 5.221
_cell_length_c 8.157
_cell_angle_alpha 90.00
_cell_angle_beta 102.73
_cell_angle_gamma 90.00
loop_
_space_group_symop_operation_xyz
'x,y,z'
'-x,-y,-z'
'-x,y,-z+1/2'
'x,-y,z+1/2'
loop_
_atom_site_label
_atom_site_type_symbol
_atom_site_fract_x
_atom_site_fract_y
_atom_site_fract_z
K1 K 0.000 0.232 0.250
Na1 Na 0.500 0.483 0.750
Be1 Be 0.500 0.000 0.000
Se1 Se 0.274 0.229 0.962
# Formation energy without anion corrections = -4.512 eV per formula unit

***

> Which formula does entry 10 have?

RbTa